No. 1
Here is a relaxed HfSc2TiO crystal from Alexandria. Energies are from PBE-GGA.

crystal system: tetragonal
N(E_F): 1.231 states/eV per atom
ΔE_f (raw): -1.085 eV per atom
relative energy among the computed polymorphs: 0 meV/atom
E_tot: -40.89 eV for the cell shown

Geometry as POSCAR:
```
HfSc2TiO
1.0
4.3960 0.0000 0.0000
0.0000 4.3960 0.0000
0.0000 0.0000 4.5226
Hf Sc Ti O
1 2 1 1
Direct
0.0000 0.0000 0.0000 Hf
0.0000 0.5000 0.5000 Sc
0.5000 0.0000 0.5000 Sc
0.5000 0.5000 0.0000 Ti
0.0000 0.0000 0.5000 O
```


No. 2
Here is a relaxed Hf2ScTiO crystal from Alexandria. Energies are from PBE-GGA.

crystal system: tetragonal
N(E_F): 1.277 states/eV per atom
ΔE_f (raw): -1.068 eV per atom
relative energy among the computed polymorphs: 0 meV/atom
E_tot: -44.43 eV for the cell shown

Geometry as POSCAR:
```
Hf2ScTiO
1.0
4.4601 0.0000 0.0000
0.0000 4.4601 0.0000
0.0000 0.0000 4.3856
Hf Sc Ti O
2 1 1 1
Direct
0.0000 0.5000 0.0000 Hf
0.5000 0.0000 0.0000 Hf
0.0000 0.0000 0.5000 Sc
0.5000 0.5000 0.5000 Ti
0.0000 0.0000 0.0000 O
```


> Look up the N(E_F) of the second one.

1.277 states/eV per atom


Copy entry 2 word for word.
Here is a relaxed Hf2ScTiO crystal from Alexandria. Energies are from PBE-GGA.

crystal system: tetragonal
N(E_F): 1.277 states/eV per atom
ΔE_f (raw): -1.068 eV per atom
relative energy among the computed polymorphs: 0 meV/atom
E_tot: -44.43 eV for the cell shown

Geometry as POSCAR:
```
Hf2ScTiO
1.0
4.4601 0.0000 0.0000
0.0000 4.4601 0.0000
0.0000 0.0000 4.3856
Hf Sc Ti O
2 1 1 1
Direct
0.0000 0.5000 0.0000 Hf
0.5000 0.0000 0.0000 Hf
0.0000 0.0000 0.5000 Sc
0.5000 0.5000 0.5000 Ti
0.0000 0.0000 0.0000 O
```